Compound: CoCu2HN
Source: the Alexandria database
Functional: SCAN
Structure: PBEsol geometry

The structure in POSCAR format:
```
CoCu2HN
1.0
3.282 0.000 0.000
0.000 4.475 0.000
0.000 0.000 4.475
H Co Cu N
1 1 2 1
Direct
0.500 0.500 0.500
0.000 0.000 0.000
0.000 0.000 0.500
0.000 0.500 0.000
0.500 0.000 0.000
```

Calculated values
Space-group type: P4/mmm
Energy, eV per cell: -54.58

Compound: NbCo2CuH
Source: the Alexandria database
Functional: SCAN
Structure: PBEsol geometry

The structure in POSCAR format:
```
NbCo2CuH
1.0
3.687 0.000 0.000
0.000 3.687 0.000
0.000 0.000 3.757
H Nb Co Cu
1 1 2 1
Direct
0.000 0.000 0.000
0.000 0.000 0.500
0.000 0.500 0.000
0.500 0.000 0.000
0.500 0.500 0.500
```

Calculated values
Space-group type: P4/mmm
Energy, eV per cell: -85.50

Compound: Co2CuPH
Source: the Alexandria database
Functional: SCAN
Structure: PBEsol geometry

The structure in POSCAR format:
```
Co2CuPH
1.0
2.813 0.000 0.000
0.000 4.353 0.000
0.000 0.000 4.353
P Co Cu H
1 2 1 1
Direct
0.500 0.500 0.500
0.000 0.000 0.500
0.000 0.500 0.000
0.000 0.000 0.000
0.500 0.000 0.000
```

Calculated values
Space-group type: P4/mmm
Energy, eV per cell: -59.55

Compound: TiCoCu2H
Source: the Alexandria database
Functional: SCAN
Structure: PBEsol geometry

The structure in POSCAR format:
```
TiCoCu2H
1.0
-0.415 -3.255 1.476
3.249 -0.963 -1.211
1.613 1.292 3.301
H Co Cu Ti
1 1 2 1
Direct
0.000 0.000 0.000
0.000 0.000 0.500
0.000 0.500 0.000
0.500 0.000 0.000
0.500 0.500 0.500
```

Calculated values
Space-group type: P4/mmm
Energy, eV per cell: -66.55

Compound: HfCo2Cu2
Source: the Alexandria database
Functional: SCAN
Structure: PBEsol geometry

The structure in POSCAR format:
```
HfCo2Cu2
1.0
3.482 0.000 0.000
0.000 3.482 0.000
-1.741 -1.741 5.409
Co Hf Cu
2 1 2
Direct
0.400 0.400 0.801
0.600 0.600 0.199
0.000 0.000 0.000
0.250 0.750 0.500
0.750 0.250 0.500
```

Calculated values
Space-group type: I4/mmm
ΔE_f, eV/f.u.: 0.4

Compound: Hf2CoCu
Source: the Alexandria database
Functional: SCAN
Structure: PBEsol geometry

The structure in POSCAR format:
```
Hf2CoCu
1.0
-2.374 -3.510 -1.358
-0.861 -3.331 2.822
-4.135 -0.613 1.524
Hf Co Cu
2 1 1
Direct
0.250 0.250 0.250
0.750 0.750 0.750
0.000 0.000 0.000
0.500 0.500 0.500
```

Calculated values
Space-group type: Fm-3m
ΔE_f, eV/f.u.: -1.3

Compound: CoCu2Hg
Source: the Alexandria database
Functional: SCAN
Structure: PBEsol geometry

The structure in POSCAR format:
```
CoCu2Hg
1.0
-1.462 -0.483 2.572
-0.661 -2.783 -0.898
5.002 -1.985 2.470
Co Cu Hg
1 2 1
Direct
0.500 0.500 0.500
0.000 0.000 0.712
0.000 0.000 0.288
0.500 0.500 0.000
```

Calculated values
Space-group type: P4/mmm
ΔE_f, eV/f.u.: 0.9

Compound: CoCu2Hg
Source: the Alexandria database
Functional: SCAN
Structure: PBEsol geometry

The structure in POSCAR format:
```
CoCu2Hg
1.0
2.708 0.000 0.000
0.000 4.572 0.012
0.000 -1.495 4.320
Co Cu Hg
1 2 1
Direct
0.500 0.500 0.500
0.000 0.500 0.000
0.000 0.000 0.500
0.500 0.000 0.000
```

Calculated values
Space-group type: Cmmm
ΔE_f, eV/f.u.: 1.2

Compound: CoCu2Hg
Source: the Alexandria database
Functional: SCAN
Structure: PBEsol geometry

The structure in POSCAR format:
```
CoCu2Hg
1.0
3.732 0.000 0.000
0.000 3.732 0.000
0.000 0.000 3.786
Co Cu Hg
1 2 1
Direct
0.000 0.500 0.500
0.000 0.000 0.000
0.500 0.500 0.000
0.500 0.000 0.500
```

Calculated values
Space-group type: P4/mmm
ΔE_f, eV/f.u.: 0.9

Compound: CoCu3HgSe4
Source: the Alexandria database
Functional: SCAN
Structure: PBEsol geometry

The structure in POSCAR format:
```
CoCu3HgSe4
1.0
5.725 0.000 0.000
0.000 5.725 0.000
0.000 0.000 5.725
Co Cu Hg Se
1 3 1 4
Direct
0.000 0.000 0.000
0.000 0.500 0.000
0.000 0.000 0.500
0.500 0.000 0.000
0.500 0.500 0.500
0.228 0.228 0.228
0.772 0.772 0.228
0.228 0.772 0.772
0.772 0.228 0.772
```

Calculated values
Space-group type: P-43m
Formation energy (no corrections), eV per atom: -0.078

Compound: HoCo4Cu
Source: the Alexandria database
Functional: SCAN
Structure: PBEsol geometry

The structure in POSCAR format:
```
HoCo4Cu
1.0
-1.769 -2.834 -2.048
4.289 -1.596 -1.497
-1.930 -1.728 4.059
Co Ho Cu
4 1 1
Direct
0.000 0.000 0.000
0.500 0.669 0.835
0.500 0.165 0.331
0.500 0.165 0.835
0.000 0.667 0.333
0.000 0.333 0.667
```

Calculated values
Space-group type: P-6m2
ΔE_f, eV/f.u.: -0.4

Compound: CoCu3I
Source: the Alexandria database
Functional: SCAN
Structure: PBEsol geometry

The structure in POSCAR format:
```
CoCu3I
1.0
4.777 0.000 0.000
0.000 4.777 0.000
0.000 0.000 4.777
I Co Cu
1 1 3
Direct
0.000 0.000 0.000
0.500 0.500 0.500
0.000 0.500 0.000
0.000 0.000 0.500
0.500 0.000 0.000
```

Calculated values
Space-group type: Pm-3m
Formation energy (no corrections), eV per atom: 1.593

Compound: CoCuI2N
Source: the Alexandria database
Functional: SCAN
Structure: PBEsol geometry

The structure in POSCAR format:
```
CoCuI2N
1.0
-3.072 -1.189 -1.400
-1.792 -1.164 4.922
-2.091 4.925 0.404
I Co Cu N
2 1 1 1
Direct
0.000 0.000 0.500
0.000 0.500 0.000
0.500 0.500 0.500
0.000 0.000 0.000
0.500 0.000 0.000
```

Calculated values
Space-group type: P4/mmm
Formation energy (no corrections), eV per atom: 1.021

Compound: CoCuIN2
Source: the Alexandria database
Functional: SCAN
Structure: PBEsol geometry

The structure in POSCAR format:
```
CoCuIN2
1.0
-2.065 -2.961 0.475
0.701 0.084 3.572
-4.932 3.583 0.885
I Co Cu N
1 1 1 2
Direct
0.000 0.000 0.500
0.500 0.500 0.500
0.000 0.000 0.000
0.000 0.500 0.000
0.500 0.000 0.000
```

Calculated values
Space-group type: P4/mmm
Formation energy (no corrections), eV per atom: 1.475

Compound: In2CoCu
Source: the Alexandria database
Functional: SCAN
Structure: PBEsol geometry

The structure in POSCAR format:
```
In2CoCu
1.0
-1.671 2.634 -0.261
-2.201 -1.030 3.700
3.028 2.159 2.402
Co Cu In
1 1 2
Direct
0.375 0.000 0.377
0.375 0.500 0.873
0.875 0.000 0.876
0.875 0.500 0.374
```

Calculated values
Space-group type: Pmm2
ΔE_f, eV/f.u.: 0.7

Compound: InCo2Cu2
Source: the Alexandria database
Functional: SCAN
Structure: PBEsol geometry

The structure in POSCAR format:
```
InCo2Cu2
1.0
3.356 0.000 0.000
0.000 3.356 0.000
-1.678 -1.678 6.067
Co Cu In
2 2 1
Direct
0.250 0.750 0.500
0.750 0.250 0.500
0.397 0.397 0.794
0.603 0.603 0.206
0.000 0.000 0.000
```

Calculated values
Space-group type: I4/mmm
ΔE_f, eV/f.u.: 1.8

Compound: In3CoCu
Source: the Alexandria database
Functional: SCAN
Structure: PBEsol geometry

The structure in POSCAR format:
```
In3CoCu
1.0
4.811 0.000 0.000
0.000 4.811 0.000
0.000 0.000 4.811
Co Cu In
1 1 3
Direct
0.000 0.000 0.000
0.500 0.500 0.500
0.000 0.500 0.000
0.000 0.000 0.500
0.500 0.000 0.000
```

Calculated values
Space-group type: Pm-3m
ΔE_f, eV/f.u.: 2.1

Compound: In2CoCuOs
Source: the Alexandria database
Functional: SCAN
Structure: PBEsol geometry

The structure in POSCAR format:
```
In2CoCuOs
1.0
-4.469 -0.929 0.764
0.144 -3.580 -3.514
1.296 -3.369 3.486
Co Os Cu In
1 1 1 2
Direct
0.500 0.500 0.500
0.000 0.000 0.000
0.500 0.000 0.000
0.000 0.000 0.500
0.000 0.500 0.000
```

Calculated values
Space-group type: P4/mmm
ΔE_f, eV/f.u.: 6.0

Compound: CoCu2Ir
Source: the Alexandria database
Functional: SCAN
Structure: PBEsol geometry

The structure in POSCAR format:
```
CoCu2Ir
1.0
3.556 0.000 0.000
0.000 3.556 0.000
0.000 0.000 3.783
Co Cu Ir
1 2 1
Direct
0.000 0.000 0.500
0.000 0.500 0.000
0.500 0.000 0.000
0.500 0.500 0.500
```

Calculated values
Space-group type: P4/mmm
ΔE_f, eV/f.u.: 0.5
Energy above the lowest structure with this stoichiometry, eV per atom: 0.037

Compound: CoCuIr3
Source: the Alexandria database
Functional: SCAN
Structure: PBEsol geometry

The structure in POSCAR format:
```
CoCuIr3
1.0
-0.004 3.417 2.724
-2.040 -2.410 3.020
3.864 -1.269 1.597
Ir Co Cu
3 1 1
Direct
0.000 0.500 0.000
0.000 0.000 0.500
0.500 0.000 0.000
0.000 0.000 0.000
0.500 0.500 0.500
```

Calculated values
Space-group type: Pm-3m
ΔE_f, eV/f.u.: 8.3